(1)
# La4Ce2Sb3N2 (PBE-GGA, relaxed)
data_La4Ce2Sb3N2
_chemical_formula_sum 'La4 Ce2 Sb3 N2'
_space_group_name_H-M_alt 'P 1'
_space_group_IT_number 1
_space_group_name_Hall 'P 1'
_cell_length_a 13.643
_cell_length_b 13.643
_cell_length_c 13.643
_cell_angle_alpha 159.41
_cell_angle_beta 159.41
_cell_angle_gamma 29.29
loop_
_atom_site_label
_atom_site_fract_x
_atom_site_fract_y
_atom_site_fract_z
La1 0.084 0.584 0.500
La2 0.416 0.916 0.500
La3 0.584 0.084 0.500
La4 0.916 0.416 0.500
Ce1 0.194 0.194 0.000
Ce2 0.806 0.806 0.000
Sb1 0.321 0.321 0.000
Sb2 0.500 0.500 0.000
Sb3 0.679 0.679 0.000
N1 0.110 0.110 0.000
N2 0.890 0.890 0.000
# - Uncorrected formation energy: -1161 meV/atom
# - Space-group type: I4/mmm, No. 139
# - Fermi-level density of states: 16.0 states/eV/cell

---

(2)
# RbGa2CuCl8 (PBE-GGA, relaxed)
data_RbGa2CuCl8
_chemical_formula_sum 'Rb1 Ga2 Cu1 Cl8'
_space_group_name_H-M_alt 'P 1'
_space_group_IT_number 1
_space_group_name_Hall 'P 1'
_cell_length_a 6.487
_cell_length_b 6.487
_cell_length_c 9.289
_cell_angle_alpha 90.00
_cell_angle_beta 90.00
_cell_angle_gamma 120.00
loop_
_atom_site_label
_atom_site_fract_x
_atom_site_fract_y
_atom_site_fract_z
Rb1 0.000 0.000 0.000
Ga1 0.333 0.667 0.736
Ga2 0.667 0.333 0.264
Cu1 0.000 0.000 0.500
Cl1 0.023 0.326 0.665
Cl2 0.303 0.977 0.665
Cl3 0.326 0.303 0.335
Cl4 0.333 0.667 0.974
Cl5 0.667 0.333 0.026
Cl6 0.674 0.697 0.665
Cl7 0.697 0.023 0.335
Cl8 0.977 0.674 0.335
# - Uncorrected formation energy: -1165 meV/atom
# - Space-group type: P-3, No. 147

---

(3)
# Zn2FeIr (PBE-GGA, relaxed)
data_Zn2FeIr
_chemical_formula_sum 'Zn2 Fe1 Ir1'
_space_group_name_H-M_alt 'P 1'
_space_group_IT_number 1
_space_group_name_Hall 'P 1'
_cell_length_a 8.826
_cell_length_b 8.826
_cell_length_c 8.826
_cell_angle_alpha 17.73
_cell_angle_beta 17.73
_cell_angle_gamma 17.73
loop_
_atom_site_label
_atom_site_fract_x
_atom_site_fract_y
_atom_site_fract_z
Zn1 0.000 0.000 0.000
Zn2 0.243 0.243 0.243
Fe1 0.497 0.497 0.497
Ir1 0.751 0.751 0.751
# - E_form: -0.013 eV per atom
# - Space-group type: R3m, No. 160
# - Fermi-level density of states: 2.6 states/eV/cell

---

(4)
# Al2CdRh (PBE-GGA, relaxed)
data_Al2CdRh
_chemical_formula_sum 'Al2 Cd1 Rh1'
_space_group_name_H-M_alt 'P 1'
_space_group_IT_number 1
_space_group_name_Hall 'P 1'
_cell_length_a 4.131
_cell_length_b 4.131
_cell_length_c 3.714
_cell_angle_alpha 90.00
_cell_angle_beta 90.00
_cell_angle_gamma 90.00
loop_
_atom_site_label
_atom_site_fract_x
_atom_site_fract_y
_atom_site_fract_z
Al1 0.000 0.500 0.000
Al2 0.500 0.000 0.000
Cd1 0.000 0.000 0.500
Rh1 0.500 0.500 0.500
# - E_form: -0.296 eV per atom
# - Space-group type: P4/mmm, No. 123
# - Fermi-level density of states: 1.4 states/eV/cell

---

(5)
# NaSrTcN3 (PBE-GGA, relaxed)
data_NaSrTcN3
_chemical_formula_sum 'Na2 Sr2 Tc2 N6'
_space_group_name_H-M_alt 'P 1'
_space_group_IT_number 1
_space_group_name_Hall 'P 1'
_cell_length_a 6.262
_cell_length_b 6.262
_cell_length_c 5.341
_cell_angle_alpha 96.68
_cell_angle_beta 96.68
_cell_angle_gamma 122.42
loop_
_atom_site_label
_atom_site_fract_x
_atom_site_fract_y
_atom_site_fract_z
Na1 0.072 0.928 0.750
Na2 0.928 0.072 0.250
Sr1 0.238 0.762 0.250
Sr2 0.762 0.238 0.750
Tc1 0.457 0.543 0.750
Tc2 0.543 0.457 0.250
N1 0.227 0.336 0.020
N2 0.289 0.711 0.750
N3 0.336 0.227 0.520
N4 0.664 0.773 0.480
N5 0.711 0.289 0.250
N6 0.773 0.664 0.980
# - Uncorrected formation energy: -336 meV/atom
# - Space-group type: C2/c, No. 15
# - Fermi-level density of states: 2.5 states/eV/cell

---

(6)
# BaGe2Au7 (PBE-GGA, relaxed)
data_BaGe2Au7
_chemical_formula_sum 'Ba1 Ge2 Au7'
_space_group_name_H-M_alt 'P 1'
_space_group_IT_number 1
_space_group_name_Hall 'P 1'
_cell_length_a 7.230
_cell_length_b 7.230
_cell_length_c 4.667
_cell_angle_alpha 90.00
_cell_angle_beta 90.00
_cell_angle_gamma 100.47
loop_
_atom_site_label
_atom_site_fract_x
_atom_site_fract_y
_atom_site_fract_z
Ba1 0.000 0.000 0.000
Ge1 0.248 0.752 0.500
Ge2 0.752 0.248 0.500
Au1 0.108 0.355 0.500
Au2 0.345 0.655 0.000
Au3 0.355 0.108 0.500
Au4 0.500 0.500 0.500
Au5 0.645 0.892 0.500
Au6 0.655 0.345 0.000
Au7 0.892 0.645 0.500
# - E_form: -0.219 eV per atom
# - Space-group type: Cmmm, No. 65
# - Fermi-level density of states: 4.2 states/eV/cell

---

(7)
# HPtCl2 (PBE-GGA, relaxed)
data_HPtCl2
_chemical_formula_sum 'H2 Pt2 Cl4'
_space_group_name_H-M_alt 'P 1'
_space_group_IT_number 1
_space_group_name_Hall 'P 1'
_cell_length_a 5.951
_cell_length_b 5.951
_cell_length_c 5.951
_cell_angle_alpha 126.80
_cell_angle_beta 126.80
_cell_angle_gamma 78.58
loop_
_atom_site_label
_atom_site_fract_x
_atom_site_fract_y
_atom_site_fract_z
H1 0.000 0.000 0.000
H2 0.750 0.250 0.500
Pt1 0.250 0.750 0.500
Pt2 0.500 0.500 0.000
Cl1 0.052 0.625 0.927
Cl2 0.375 0.302 0.427
Cl3 0.698 0.125 0.073
Cl4 0.875 0.948 0.573
# - Space-group type: I-42d, No. 122
# - Fermi-level density of states: 0.8 states/eV/cell
# - E above lowest polymorph: 0.221 eV per atom

---

(8)
# LaZrRu2 (PBE-GGA, relaxed)
data_LaZrRu2
_chemical_formula_sum 'La1 Zr1 Ru2'
_space_group_name_H-M_alt 'P 1'
_space_group_IT_number 1
_space_group_name_Hall 'P 1'
_cell_length_a 5.900
_cell_length_b 5.900
_cell_length_c 5.900
_cell_angle_alpha 141.13
_cell_angle_beta 141.13
_cell_angle_gamma 56.14
loop_
_atom_site_label
_atom_site_fract_x
_atom_site_fract_y
_atom_site_fract_z
La1 0.000 0.000 0.000
Zr1 0.750 0.250 0.500
Ru1 0.250 0.750 0.500
Ru2 0.500 0.500 0.000
# - E_form: 0.047 eV per atom
# - Space-group type: I-4m2, No. 119
# - Fermi-level density of states: 5.9 states/eV/cell

---

no.,E_tot (eV per cell)
1,-73.4
2,-39.9
3,-19.9
4,-16.9
5,-80.7
6,-36.3
7,-22.5
8,-31.8